A plane-wave DFT calculation with PBE with a Hubbard U was carried out for a relaxed structure of CrBF6.

## Properties
Uncorrected energy, eV/cell: -44.34
Crystal system: trigonal

a b c (Å): 4.715 4.715 4.937
angles (deg): 61.48 61.48 60.00
Last column: magnetic moment on the atom in μB.
Positions (direct):
F  0.222  0.891  0.227  0.00
F  0.109  0.340  0.773  0.00
F  0.891  0.660  0.227  0.00
F  0.340  0.778  0.773  0.00
F  0.660  0.222  0.227  0.00
F  0.778  0.109  0.773  0.00
B  0.000  0.000  0.000  0.00
Cr  0.500  0.500  0.500  2.93